[1]
Tm3Zr2Sc3 | PBE | relaxed

POSCAR file:
```
Tm3Zr2Sc3
1.0
-2.177 2.285 -5.091
-5.426 -1.025 2.320
-0.517 5.529 2.244
Zr Tm Sc
2 3 3
direct
0.322 0.322 0.678 Zr
0.678 0.678 0.322 Zr
0.000 0.284 0.284 Tm
0.284 0.716 0.000 Tm
0.716 0.000 0.716 Tm
0.500 0.187 0.187 Sc
0.813 0.500 0.813 Sc
0.187 0.813 0.500 Sc
```

Summary:
Crystal system: trigonal
E_tot, eV per atom: -6.004
Energy of formation, eV per atom: 0.18



[2]
Tm3ZrSc3 | PBE | relaxed

POSCAR file:
```
Tm3ZrSc3
1.0
5.549 0.003 1.786
2.490 4.960 1.782
-1.263 -0.788 13.470
Tm Sc Zr
6 6 2
direct
0.731 0.399 0.804 Tm
0.601 0.935 0.196 Tm
0.935 0.269 0.196 Tm
0.269 0.601 0.196 Tm
0.399 0.065 0.804 Tm
0.065 0.731 0.804 Tm
0.533 0.198 0.404 Sc
0.135 0.467 0.596 Sc
0.467 0.802 0.596 Sc
0.802 0.135 0.596 Sc
0.198 0.865 0.404 Sc
0.865 0.533 0.404 Sc
0.333 0.333 0.000 Zr
0.667 0.667 0.000 Zr
```

Summary:
Crystal system: triclinic
E_tot, eV per atom: -5.655
Energy of formation, eV per atom: 0.20



[3]
Tm4Zr6Sc19 | PBE | relaxed

POSCAR file:
```
Tm4Zr6Sc19
1.0
2.666 0.737 -10.251
4.979 -5.383 2.495
-10.814 -3.123 1.818
Sc Zr Tm
19 6 4
direct
0.760 0.278 0.942 Sc
0.163 0.937 0.183 Sc
0.398 0.705 0.130 Sc
0.595 0.603 0.355 Sc
0.763 0.743 0.004 Sc
0.965 0.666 0.276 Sc
0.968 0.037 0.927 Sc
0.157 0.158 0.505 Sc
0.773 0.931 0.321 Sc
0.543 0.824 0.747 Sc
0.734 0.068 0.620 Sc
0.357 0.094 0.774 Sc
0.721 0.652 0.639 Sc
0.130 0.500 0.138 Sc
0.956 0.236 0.240 Sc
0.119 0.315 0.813 Sc
0.194 0.772 0.854 Sc
0.547 0.175 0.380 Sc
0.322 0.237 0.077 Sc
0.606 0.470 0.089 Zr
0.534 0.332 0.673 Zr
0.918 0.385 0.540 Zr
0.194 0.614 0.560 Zr
0.368 0.874 0.461 Zr
0.401 0.543 0.833 Zr
0.583 0.051 0.080 Tm
0.919 0.545 0.850 Tm
0.340 0.423 0.405 Tm
0.973 0.833 0.584 Tm
```

Summary:
Crystal system: triclinic
E_tot, eV per atom: -6.456
Energy of formation, eV per atom: 0.08